[1]
## CoAg3C (GGA-PBEsol)

Data for a geometry-optimized CoAg3C structure.

```
5
Lattice="4.6480 0.0000 0.0000 0.0000 4.6480 0.0000 0.0000 0.0000 4.6480" Properties=species:S:1:pos:R:3 pbc="T T T"
Co 0.0000 0.0000 0.0000
Ag 0.0000 0.0000 2.3240
Ag 0.0000 2.3240 0.0000
Ag 2.3240 0.0000 0.0000
C 2.3240 2.3240 2.3240
```

Computed properties:
DFT total energy = -3.12 eV/atom
Symmetry = No. 221
M_tot = 3.2 μB per cell
Calculated density = 6.5 g/cm³
Polymorph energy (0 for the lowest one) = 1.298 eV per atom

***

[2]
## CoAgC2I (GGA-PBEsol)

Data for a geometry-optimized CoAgC2I structure.

```
5
Lattice="3.6769 0.0000 0.0000 0.0000 3.6769 0.0000 0.0000 0.0000 7.5091" Properties=species:S:1:pos:R:3 pbc="T T T"
Co 0.0000 0.0000 0.0000
Ag 1.8384 1.8384 3.7545
C 0.0000 1.8384 0.0000
C 1.8384 0.0000 0.0000
I 0.0000 0.0000 3.7545
```

Computed properties:
DFT total energy = -4.91 eV/atom
Symmetry = No. 123
Formation energy (no corrections) = 1.514 eV/atom
M_tot = 0.0 μB per cell
Calculated density = 5.2 g/cm³

***

Number 2 is which compound? CoAgC2I

***

Which value of M_tot does entry 2 give? 0.0 μB per cell

***

Among the records above, which one has the highest calculated density? CoAg3C

***

The lowest M_tot belongs to which entry? CoAgC2I